LiNiGeF6 (GGA+U, optimized geometry); size of the total moment = 2.77 μB/f.u.; space-group type = No. 163; total DFT energy (no corrections) = -81.31 eV for the cell shown
1.0
5.2478 0.0000 0.0000
-2.6239 4.5447 0.0000
0.0000 0.0000 9.0613
Li Ni Ge F
2 2 2 12
Direct
0.0000 0.0000 0.0000 Li
0.0000 0.0000 0.5000 Li
0.3333 0.6667 0.2500 Ni
0.6667 0.3333 0.7500 Ni
0.3333 0.6667 0.7500 Ge
0.6667 0.3333 0.2500 Ge
0.0010 0.3441 0.6313 F
0.0010 0.6569 0.8687 F
0.3431 0.3441 0.8687 F
0.3431 0.9990 0.6313 F
0.3441 0.0010 0.1313 F
0.3441 0.3431 0.3687 F
0.6559 0.6569 0.6313 F
0.6559 0.9990 0.8687 F
0.6569 0.0010 0.3687 F
0.6569 0.6559 0.1313 F
0.9990 0.3431 0.1313 F
0.9990 0.6559 0.3687 F